LiTe4Cl | PBE | optimized geometry

Structure (CIF):
```
data_LiTe4Cl
_symmetry_space_group_name_H-M 'P 1'
_symmetry_Int_Tables_number 1
_cell_length_a 6.361
_cell_length_b 6.361
_cell_length_c 6.361
_cell_angle_alpha 60.00
_cell_angle_beta 60.00
_cell_angle_gamma 60.00
loop_
_symmetry_equiv_pos_as_xyz
'x,y,z'
loop_
_atom_site_label
_atom_site_type_symbol
_atom_site_fract_x
_atom_site_fract_y
_atom_site_fract_z
Li1 Li 0.000 0.000 0.000
Te1 Te 0.873 0.376 0.376
Te2 Te 0.376 0.376 0.873
Te3 Te 0.376 0.873 0.376
Te4 Te 0.376 0.376 0.376
Cl1 Cl 0.750 0.750 0.750
```

## Properties
Space group: F-43m, No. 216
Raw total energy, eV per cell: -16.55
Formation energy without anion corrections, meV/atom: -37
Magnetic moment, μB per cell: 0.1